DFT (PBE-GGA) results for a relaxed Tm2ScAu crystal.

Calculated values
**Theoretical density**: 9.725 g/cm3
**Total moment**: 0.00 μB/cell
**Electronic total energy**: -5.032 eV per atom
**Formation energy**: -152 kJ/mol of formula units

a b c (Å): 3.5985 3.5985 7.6451
angles (deg): 90.00 90.00 90.00
Sites, in units of the cell vectors:
Tm 0.0000 0.0000 0.2233
Tm 0.0000 0.0000 0.7767
Sc 0.5000 0.5000 0.5000
Au 0.5000 0.5000 0.0000